Compound: HoTm2PaS4
Source: Alexandria via LeMat-Bulk
Functional: PBE
Structure: optimized geometry

## Properties
final energy: -6.78 eV per atom
raw formation energy: -1.8431 eV/atom
total magnetization: 0.0 μB per formula unit

Structure (CIF):
```
data_HoTm2PaS4
_chemical_formula_sum 'Ho1 Tm2 Pa1 S4'
_space_group_name_H-M_alt 'P 1 2/m 1'
_space_group_IT_number 10
_cell_length_a 6.698
_cell_length_b 3.827
_cell_length_c 6.729
_cell_angle_alpha 90.00
_cell_angle_beta 108.91
_cell_angle_gamma 90.00
loop_
_space_group_symop_operation_xyz
'x,y,z'
'-x,-y,-z'
'-x,y,-z'
'x,-y,z'
loop_
_atom_site_label
_atom_site_type_symbol
_atom_site_fract_x
_atom_site_fract_y
_atom_site_fract_z
Ho1 Ho 0.000 0.000 0.000
Tm1 Tm 0.000 0.500 0.500
Tm2 Tm 0.500 0.000 0.500
Pa1 Pa 0.500 0.500 0.000
S1 S 0.245 0.000 0.742
S2 S 0.250 0.500 0.255
```